Here is a geometry-optimized MoPb3Se2F6 structure from Alexandria via LeMat-Bulk. Energies are from GGA+U.

Calculated values
V = 468.2 Å³/cell
calculated total energy = -4.78 eV/atom

Cell lengths 13.798, 7.948, 4.270 Å; angles 90.00, 91.46, 90.00 degrees
Space group C2/m (No. 12)
Inequivalent atoms, fractional coordinates:
Mo 0.000 0.000 0.000 x2
Pb 0.000 0.500 0.500 x2
Pb 0.250 0.250 0.500 x4
Se 0.168 0.500 0.980 x4
F 0.061 0.189 0.254 x8
F 0.119 0.000 0.750 x4